NaMgPd2Au after structural relaxation, computed with PBE.

Results
E_tot (eV/atom): -2.927

a = 5.0978 Å, b = 5.0978 Å, c = 4.9343 Å
α = 90.00°, β = 90.00°, γ = 90.00°
Space group P4/mmm (No. 123)
Asymmetric unit:
Na: 0.0000 0.0000 0.0000 (multiplicity 1)
Mg: 0.5000 0.5000 0.0000 (multiplicity 1)
Pd: 0.0000 0.5000 0.5000 (multiplicity 2)
Au: 0.0000 0.0000 0.5000 (multiplicity 1)